First-principles (PBE+U) data for an optimized crystal structure of Cr4OF11, as listed in Alexandria via LeMat-Bulk.

abc: 5.062 5.319 8.886
angles: 71.61 105.83 117.88
Atoms (fractional coordinates):
F 0.435 0.182 0.067
F 0.439 0.562 0.682
F 0.937 0.684 0.562
F 0.066 0.315 0.438
F 0.932 0.069 0.188
F 0.564 0.815 0.935
F 0.005 0.376 0.875
F 0.993 0.624 0.127
F 0.505 0.875 0.378
F 0.065 0.936 0.814
F 0.500 0.123 0.623
Cr 0.999 0.001 0.002
Cr 0.506 0.494 0.492
Cr 0.253 0.748 0.749
Cr 0.741 0.258 0.256
O 0.560 0.438 0.312

Summary:
Total energy in eV/atom: -6.029
Space group: No. 1
E above lowest polymorph in meV/atom: 0.2
Total magnetic moment in μB/cell: 11.00